--- w ---
Entry from Alexandria via LeMat-Bulk: an optimized crystal structure of ReTe2PbN (PBE-GGA).

extended XYZ file:
```
5
Lattice="5.6020 0.0000 0.0000 0.0000 5.6020 0.0000 0.0000 0.0000 3.7777" Properties=species:S:1:pos:R:3 pbc="T T T"
Re 0.0000 0.0000 0.0000
Te 0.0000 2.8010 0.0000
Te 2.8010 0.0000 0.0000
Pb 2.8010 2.8010 1.8889
N 0.0000 0.0000 1.8889
```

Output
Magnetic moment, μB/atom: 0.000
N(E_F), states/eV/cell: 3.8

--- x ---
Entry from Alexandria via LeMat-Bulk: an optimized crystal structure of ReTe2PbN (PBE-GGA).

extended XYZ file:
```
5
Lattice="5.8549 0.0000 0.0000 0.0000 5.8549 0.0000 0.0000 0.0000 4.1503" Properties=species:S:1:pos:R:3 pbc="T T T"
Re 0.0000 0.0000 0.0000
Te 0.0000 2.9275 2.0752
Te 2.9275 0.0000 2.0752
Pb 2.9275 2.9275 2.0752
N 2.9275 2.9275 0.0000
```

Output
Magnetic moment, μB/atom: 1.025
N(E_F), states/eV/cell: 4.7

Here is how they stack up, most stable first: w, x.

--- w ---
Entry from Alexandria via LeMat-Bulk: an optimized crystal structure of Rh2PbN (PBE-GGA).

extended XYZ file:
```
8
Lattice="-2.7396 2.7396 4.8941 2.7396 -2.7396 4.8941 2.7396 2.7396 -4.8941" Properties=species:S:1:pos:R:3 pbc="T T T"
Rh 0.6523 1.3698 1.2235
Rh -1.3698 2.0873 3.6706
Rh -0.6523 4.1094 1.2235
Rh 1.3698 3.3919 3.6706
Pb 2.7396 0.0000 2.4470
Pb 0.0000 0.0000 4.8941
N 0.0000 0.0000 0.0000
N 0.0000 2.7396 2.4470
```

Output
Magnetic moment, μB/atom: 0.000
N(E_F), states/eV/cell: 5.6

--- x ---
Entry from Alexandria via LeMat-Bulk: an optimized crystal structure of Rh2PbN (PBE-GGA).

extended XYZ file:
```
4
Lattice="0.0000 3.1337 3.1337 3.1337 0.0000 3.1337 3.1337 3.1337 0.0000" Properties=species:S:1:pos:R:3 pbc="T T T"
Rh 1.5668 1.5668 1.5668
Rh 4.7005 4.7005 4.7005
Pb 0.0000 0.0000 0.0000
N 3.1337 3.1337 3.1337
```

Output
Magnetic moment, μB/atom: 0.435
N(E_F), states/eV/cell: 5.3

Here is how they stack up, most stable first: w, x.

--- w ---
Entry from Alexandria via LeMat-Bulk: an optimized crystal structure of Rh3PbN (PBE-GGA).

extended XYZ file:
```
5
Lattice="5.0803 0.0000 0.0000 0.0000 5.0803 0.0000 0.0000 0.0000 5.0803" Properties=species:S:1:pos:R:3 pbc="T T T"
Rh 0.0000 0.0000 2.5402
Rh 0.0000 2.5402 0.0000
Rh 2.5402 0.0000 0.0000
Pb 0.0000 0.0000 0.0000
N 2.5402 2.5402 2.5402
```

Output
Magnetic moment, μB/atom: 0.868
N(E_F), states/eV/cell: 6.8

--- x ---
Entry from Alexandria via LeMat-Bulk: an optimized crystal structure of Rh3PbN (PBE-GGA).

extended XYZ file:
```
5
Lattice="4.2009 0.0000 0.0000 0.0000 4.2009 0.0000 0.0000 0.0000 4.2009" Properties=species:S:1:pos:R:3 pbc="T T T"
Rh 0.0000 0.0000 2.1005
Rh 0.0000 2.1005 0.0000
Rh 2.1005 0.0000 0.0000
Pb 2.1005 2.1005 2.1005
N 0.0000 0.0000 0.0000
```

Output
Magnetic moment, μB/atom: 0.000
N(E_F), states/eV/cell: 6.5

Here is how they stack up, most stable first: x, w.

--- w ---
Entry from Alexandria via LeMat-Bulk: an optimized crystal structure of RhPb3N (PBE-GGA).

extended XYZ file:
```
5
Lattice="5.2001 0.0000 0.0000 0.0000 5.2001 0.0000 0.0000 0.0000 5.2001" Properties=species:S:1:pos:R:3 pbc="T T T"
Rh 0.0000 0.0000 0.0000
Pb 0.0000 0.0000 2.6000
Pb 0.0000 2.6000 0.0000
Pb 2.6000 0.0000 0.0000
N 2.6000 2.6000 2.6000
```

Output
Magnetic moment, μB/atom: 0.000
N(E_F), states/eV/cell: 1.7

--- x ---
Entry from Alexandria via LeMat-Bulk: an optimized crystal structure of RhPb3N (PBE-GGA).

extended XYZ file:
```
5
Lattice="4.8426 0.0000 0.0000 0.0000 4.8426 0.0000 0.0000 0.0000 4.8426" Properties=species:S:1:pos:R:3 pbc="T T T"
Rh 0.0000 0.0000 0.0000
Pb 0.0000 2.4213 2.4213
Pb 2.4213 0.0000 2.4213
Pb 2.4213 2.4213 0.0000
N 2.4213 2.4213 2.4213
```

Output
Magnetic moment, μB/atom: 0.000
N(E_F), states/eV/cell: 2.1

Here is how they stack up, most stable first: x, w.

--- w ---
Entry from Alexandria via LeMat-Bulk: an optimized crystal structure of RhPbS2N (PBE-GGA).

extended XYZ file:
```
5
Lattice="5.2065 0.0000 0.0000 0.0000 5.2065 0.0000 0.0000 0.0000 4.2870" Properties=species:S:1:pos:R:3 pbc="T T T"
Rh 0.0000 0.0000 0.0000
Pb 2.6033 2.6033 2.1435
S 0.0000 2.6033 2.1435
S 2.6033 0.0000 2.1435
N 2.6033 2.6033 0.0000
```

Output
Magnetic moment, μB/atom: 0.850
N(E_F), states/eV/cell: 4.8

--- x ---
Entry from Alexandria via LeMat-Bulk: an optimized crystal structure of RhPbS2N (PBE-GGA).

extended XYZ file:
```
5
Lattice="5.0140 0.0000 0.0000 0.0000 5.0140 0.0000 0.0000 0.0000 3.6985" Properties=species:S:1:pos:R:3 pbc="T T T"
Rh 0.0000 0.0000 0.0000
Pb 2.5070 2.5070 1.8493
S 0.0000 2.5070 0.0000
S 2.5070 0.0000 0.0000
N 0.0000 0.0000 1.8493
```

Output
Magnetic moment, μB/atom: 0.000
N(E_F), states/eV/cell: 2.5

Here is how they stack up, most stable first: x, w.

--- w ---
Entry from Alexandria via LeMat-Bulk: an optimized crystal structure of RhPbSeN2 (PBE-GGA).

extended XYZ file:
```
5
Lattice="4.0135 0.0000 0.0000 0.0000 4.0135 0.0000 0.0000 0.0000 5.3185" Properties=species:S:1:pos:R:3 pbc="T T T"
Rh 0.0000 0.0000 0.0000
Pb 2.0067 2.0067 2.6593
Se 0.0000 0.0000 2.6593
N 0.0000 2.0067 0.0000
N 2.0067 0.0000 0.0000
```

Output
Magnetic moment, μB/atom: 0.095
N(E_F), states/eV/cell: 3.0

--- x ---
Entry from Alexandria via LeMat-Bulk: an optimized crystal structure of RhPbSeN2 (PBE-GGA).

extended XYZ file:
```
5
Lattice="4.2220 0.0000 0.0000 0.0000 4.2220 0.0000 0.0000 0.0000 5.8058" Properties=species:S:1:pos:R:3 pbc="T T T"
Rh 0.0000 0.0000 0.0000
Pb 2.1110 2.1110 2.9029
Se 2.1110 2.1110 0.0000
N 0.0000 2.1110 2.9029
N 2.1110 0.0000 2.9029
```

Output
Magnetic moment, μB/atom: 0.830
N(E_F), states/eV/cell: 4.3

Here is how they stack up, most stable first: w, x.

--- w ---
Entry from Alexandria via LeMat-Bulk: an optimized crystal structure of RhPbSe2N (PBE-GGA).

extended XYZ file:
```
5
Lattice="5.4607 0.0000 0.0000 0.0000 5.4607 0.0000 0.0000 0.0000 4.2495" Properties=species:S:1:pos:R:3 pbc="T T T"
Rh 0.0000 0.0000 0.0000
Pb 2.7304 2.7304 2.1248
Se 0.0000 2.7304 2.1248
Se 2.7304 0.0000 2.1248
N 2.7304 2.7304 0.0000
```

Output
Magnetic moment, μB/atom: 0.756
N(E_F), states/eV/cell: 7.5

--- x ---
Entry from Alexandria via LeMat-Bulk: an optimized crystal structure of RhPbSe2N (PBE-GGA).

extended XYZ file:
```
5
Lattice="5.2955 0.0000 0.0000 0.0000 5.2955 0.0000 0.0000 0.0000 3.6966" Properties=species:S:1:pos:R:3 pbc="T T T"
Rh 0.0000 0.0000 0.0000
Pb 2.6478 2.6478 1.8483
Se 0.0000 2.6478 0.0000
Se 2.6478 0.0000 0.0000
N 0.0000 0.0000 1.8483
```

Output
Magnetic moment, μB/atom: 0.000
N(E_F), states/eV/cell: 3.7

Here is how they stack up, most stable first: x, w.

--- w ---
Entry from Alexandria via LeMat-Bulk: an optimized crystal structure of Ru2PbN (PBE-GGA).

extended XYZ file:
```
8
Lattice="-2.7804 2.7804 4.6066 2.7804 -2.7804 4.6066 2.7804 2.7804 -4.6066" Properties=species:S:1:pos:R:3 pbc="T T T"
Ru 0.6492 1.3902 1.1516
Ru -1.3902 2.1313 3.4549
Ru -0.6492 4.1707 1.1516
Ru 1.3902 3.4296 3.4549
Pb 2.7804 0.0000 2.3033
Pb 0.0000 0.0000 4.6066
N 0.0000 0.0000 0.0000
N 0.0000 2.7804 2.3033
```

Output
Magnetic moment, μB/atom: 0.000
N(E_F), states/eV/cell: 6.3

--- x ---
Entry from Alexandria via LeMat-Bulk: an optimized crystal structure of Ru2PbN (PBE-GGA).

extended XYZ file:
```
4
Lattice="0.0000 3.1088 3.1088 3.1088 0.0000 3.1088 3.1088 3.1088 0.0000" Properties=species:S:1:pos:R:3 pbc="T T T"
Ru 1.5544 1.5544 1.5544
Ru 4.6633 4.6633 4.6633
Pb 0.0000 0.0000 0.0000
N 3.1088 3.1088 3.1088
```

Output
Magnetic moment, μB/atom: 0.000
N(E_F), states/eV/cell: 2.7

Here is how they stack up, most stable first: w, x.

--- w ---
Entry from Alexandria via LeMat-Bulk: an optimized crystal structure of Ru3PbN (PBE-GGA).

extended XYZ file:
```
5
Lattice="4.1461 0.0000 0.0000 0.0000 4.1461 0.0000 0.0000 0.0000 4.1461" Properties=species:S:1:pos:R:3 pbc="T T T"
Ru 0.0000 0.0000 2.0730
Ru 0.0000 2.0730 0.0000
Ru 2.0730 0.0000 0.0000
Pb 2.0730 2.0730 2.0730
N 0.0000 0.0000 0.0000
```

Output
Magnetic moment, μB/atom: 0.000
N(E_F), states/eV/cell: 4.9

--- x ---
Entry from Alexandria via LeMat-Bulk: an optimized crystal structure of Ru3PbN (PBE-GGA).

extended XYZ file:
```
5
Lattice="5.0904 0.0000 0.0000 0.0000 5.0904 0.0000 0.0000 0.0000 5.0904" Properties=species:S:1:pos:R:3 pbc="T T T"
Ru 0.0000 0.0000 2.5452
Ru 0.0000 2.5452 0.0000
Ru 2.5452 0.0000 0.0000
Pb 0.0000 0.0000 0.0000
N 2.5452 2.5452 2.5452
```

Output
Magnetic moment, μB/atom: 1.626
N(E_F), states/eV/cell: 7.3

Here is how they stack up, most stable first: w, x.

--- w ---
Entry from Alexandria via LeMat-Bulk: an optimized crystal structure of RuPbSe2N (PBE-GGA).

extended XYZ file:
```
5
Lattice="5.3588 0.0000 0.0000 0.0000 5.3588 0.0000 0.0000 0.0000 4.1423" Properties=species:S:1:pos:R:3 pbc="T T T"
Ru 0.0000 0.0000 0.0000
Pb 2.6794 2.6794 2.0711
Se 0.0000 2.6794 2.0711
Se 2.6794 0.0000 2.0711
N 2.6794 2.6794 0.0000
```

Output
Magnetic moment, μB/atom: 0.984
N(E_F), states/eV/cell: 6.8

--- x ---
Entry from Alexandria via LeMat-Bulk: an optimized crystal structure of RuPbSe2N (PBE-GGA).

extended XYZ file:
```
5
Lattice="5.2445 0.0000 0.0000 0.0000 5.2445 0.0000 0.0000 0.0000 3.7219" Properties=species:S:1:pos:R:3 pbc="T T T"
Ru 0.0000 0.0000 0.0000
Pb 2.6222 2.6222 1.8610
Se 0.0000 2.6222 0.0000
Se 2.6222 0.0000 0.0000
N 0.0000 0.0000 1.8610
```

Output
Magnetic moment, μB/atom: 0.000
N(E_F), states/eV/cell: 5.9

Here is how they stack up, most stable first: x, w.

--- w ---
Entry from Alexandria via LeMat-Bulk: an optimized crystal structure of TeRuPbN2 (PBE-GGA).

extended XYZ file:
```
5
Lattice="4.2381 0.0000 0.0000 0.0000 4.2381 0.0000 0.0000 0.0000 6.0782" Properties=species:S:1:pos:R:3 pbc="T T T"
Te 0.0000 0.0000 0.0000
Ru 2.1191 2.1191 0.0000
Pb 0.0000 0.0000 3.0391
N 0.0000 2.1191 3.0391
N 2.1191 0.0000 3.0391
```

Output
Magnetic moment, μB/atom: 1.059
N(E_F), states/eV/cell: 5.6

--- x ---
Entry from Alexandria via LeMat-Bulk: an optimized crystal structure of TeRuPbN2 (PBE-GGA).

extended XYZ file:
```
5
Lattice="4.1437 0.0000 0.0000 0.0000 4.1437 0.0000 0.0000 0.0000 5.7110" Properties=species:S:1:pos:R:3 pbc="T T T"
Te 0.0000 0.0000 0.0000
Ru 0.0000 0.0000 2.8555
Pb 2.0718 2.0718 0.0000
N 0.0000 2.0718 2.8555
N 2.0718 0.0000 2.8555
```

Output
Magnetic moment, μB/atom: 0.084
N(E_F), states/eV/cell: 2.8

Here is how they stack up, most stable first: x, w.

--- w ---
Entry from Alexandria via LeMat-Bulk: an optimized crystal structure of Te2RuPbN (PBE-GGA).

extended XYZ file:
```
5
Lattice="5.6431 0.0000 0.0000 0.0000 5.6431 0.0000 0.0000 0.0000 3.7000" Properties=species:S:1:pos:R:3 pbc="T T T"
Te 0.0000 2.8216 0.0000
Te 2.8216 0.0000 0.0000
Ru 0.0000 0.0000 0.0000
Pb 2.8216 2.8216 1.8500
N 0.0000 0.0000 1.8500
```

Output
Magnetic moment, μB/atom: 0.000
N(E_F), states/eV/cell: 3.0

--- x ---
Entry from Alexandria via LeMat-Bulk: an optimized crystal structure of Te2RuPbN (PBE-GGA).

extended XYZ file:
```
5
Lattice="5.8609 0.0000 0.0000 0.0000 5.8609 0.0000 0.0000 0.0000 4.1458" Properties=species:S:1:pos:R:3 pbc="T T T"
Te 0.0000 2.9304 0.0000
Te 2.9304 0.0000 0.0000
Ru 0.0000 0.0000 2.0729
Pb 2.9304 2.9304 0.0000
N 2.9304 2.9304 2.0729
```

Output
Magnetic moment, μB/atom: 0.808
N(E_F), states/eV/cell: 7.2

Here is how they stack up, most stable first: w, x.